Record 1
AsAuSe2Cl after structural relaxation, computed with PBE.

The calculation puts the uncorrected formation energy at 0.746 eV/atom.

Lattice parameters (Å, degrees): 5.151 5.151 5.095 90.00 90.00 90.00
Space group P4/mmm (No. 123)
Inequivalent atoms, fractional coordinates:
1 As 0.000 0.000 0.000 (multiplicity 1)
2 Au 0.000 0.000 0.500 (multiplicity 1)
3 Se 0.000 0.500 0.500 (multiplicity 2)
4 Cl 0.500 0.500 0.000 (multiplicity 1)

***

Record 2
Eu2AlTl after structural relaxation, computed with PBE.

The value obtained for the formation energy is -115 meV per atom.

Lattice parameters (Å, degrees): 3.7603 3.7603 30.5662 90.00 90.00 120.00
Space group R-3m (No. 166, hexagonal axes)
Inequivalent atoms, fractional coordinates:
1 Eu 0.0000 0.0000 0.2458 (multiplicity 6)
2 Al 0.0000 0.0000 0.5000 (multiplicity 3)
3 Tl 0.0000 0.0000 0.0000 (multiplicity 3)

***

Record 3
B5C7 after structural relaxation, computed with PBE.

The value obtained for the formation energy is 357 meV per atom.

Lattice parameters (Å, degrees): 12.008 2.585 5.331 90.00 101.68 90.00
Space group Cm (No. 8)
Inequivalent atoms, fractional coordinates:
1 B 0.000 0.000 0.000 (multiplicity 2)
2 B 0.001 0.000 0.504 (multiplicity 2)
3 B 0.141 0.500 0.263 (multiplicity 2)
4 B 0.263 0.500 0.693 (multiplicity 2)
5 B 0.331 0.000 0.168 (multiplicity 2)
6 C 0.078 0.000 0.290 (multiplicity 2)
7 C 0.084 0.000 0.782 (multiplicity 2)
8 C 0.156 0.500 0.830 (multiplicity 2)
9 C 0.238 0.500 0.105 (multiplicity 2)
10 C 0.338 0.000 0.675 (multiplicity 2)
11 C 0.402 0.000 0.459 (multiplicity 2)
12 C 0.409 0.000 0.948 (multiplicity 2)

***

Ordered total moment results: 1.8, 44.0, 0.0; unit μB per cell.
Ordered mass density results: 5.7, 7.1, 2.8; unit g/cm3.
Ordered total energy results: -2.60, -6.78, -7.81; unit eV per atom.